Compound: ZnNiPF2
Source: Alexandria
Functional: PBE+U
Structure: optimized geometry

Summary:
Theoretical density in g/cm³: 4.35
Volume in Å³/atom: 14.75
Uncorrected energy in eV/atom: -3.15

Cell lengths 3.9178, 3.9178, 4.8050 Å; angles 90.00, 90.00, 90.00 degrees
Fractional coordinates of all 5 atoms:
Zn (0.0000, 0.0000, 0.0000)
Ni (0.5000, 0.5000, 0.0000)
P (0.5000, 0.5000, 0.5000)
F (0.0000, 0.5000, 0.5000)
F (0.5000, 0.0000, 0.5000)